Here is an optimized crystal structure of Ni2IrW from Alexandria. Energies are from GGA-PBE.

Values from the calculation:
- magnetization (μB/atom) = 0.00
- E_tot (eV for the cell shown) = -33.334
- ΔE_f (eV/atom) = 0.011

Lattice parameters (Å, degrees): 4.523 4.523 2.721 90.00 90.00 109.43
Sites, in units of the cell vectors:
Ni (0.500, 0.500, 0.000)
Ni (0.000, 0.000, 0.000)
Ir (0.000, 0.500, 0.500)
W (0.500, 0.000, 0.500)